Entry 1:
This record from the Alexandria database describes a geometry-optimized HfMgZrV structure. The functional is PBE.

Properties
As for the crystal system: cubic.

Lattice parameters (Å, degrees): 6.840 6.840 6.840 90.00 90.00 90.00
Positions (direct):
Hf 0.000 0.000 0.000
Hf 0.000 0.500 0.500
Hf 0.500 0.000 0.500
Hf 0.500 0.500 0.000
Mg 0.250 0.250 0.250
Mg 0.250 0.750 0.750
Mg 0.750 0.250 0.750
Mg 0.750 0.750 0.250
Zr 0.000 0.000 0.500
Zr 0.000 0.500 0.000
Zr 0.500 0.000 0.000
Zr 0.500 0.500 0.500
V 0.250 0.250 0.750
V 0.250 0.750 0.250
V 0.750 0.250 0.250
V 0.750 0.750 0.750

***

Entry 2:
This record from the Alexandria database describes a geometry-optimized Hf2MgW structure. The functional is PBE.

Properties
As for the crystal system: trigonal.

Lattice parameters (Å, degrees): 3.215 3.215 28.441 90.00 90.00 120.00
Positions (direct):
Hf 0.000 0.000 0.240
Hf 0.000 0.000 0.760
Hf 0.333 0.667 0.427
Hf 0.333 0.667 0.907
Hf 0.667 0.333 0.093
Hf 0.667 0.333 0.573
Mg 0.000 0.000 0.000
Mg 0.333 0.667 0.667
Mg 0.667 0.333 0.333
W 0.000 0.000 0.500
W 0.333 0.667 0.167
W 0.667 0.333 0.833

***

Entry 3:
This record from the Alexandria database describes a geometry-optimized HfMg14W structure. The functional is PBE.

Properties
The energy relative to the lowest polymorph listed for this composition is 0 meV per atom. As for the crystal system: orthorhombic.

Lattice parameters (Å, degrees): 10.191 6.349 6.349 56.96 90.00 90.00
Positions (direct):
Hf 0.000 0.000 0.000
Mg 0.000 0.003 0.495
Mg 0.000 0.495 0.003
Mg 0.235 0.648 0.648
Mg 0.241 0.163 0.654
Mg 0.241 0.654 0.163
Mg 0.254 0.153 0.153
Mg 0.500 0.495 0.495
Mg 0.500 0.497 0.993
Mg 0.500 0.992 0.992
Mg 0.500 0.993 0.497
Mg 0.746 0.153 0.153
Mg 0.759 0.163 0.654
Mg 0.759 0.654 0.163
Mg 0.765 0.648 0.648
W 0.000 0.496 0.496

***

Entry 4:
This record from the Alexandria database describes a geometry-optimized Hf2Mg2W structure. The functional is PBE.

Properties
The energy relative to the lowest polymorph listed for this composition is 198 meV per atom. As for the crystal system: tetragonal.

Lattice parameters (Å, degrees): 8.116 8.116 3.082 90.00 90.00 90.00
Positions (direct):
Hf 0.179 0.321 0.000
Hf 0.321 0.821 0.000
Hf 0.679 0.179 0.000
Hf 0.821 0.679 0.000
Mg 0.121 0.621 0.500
Mg 0.379 0.121 0.500
Mg 0.621 0.879 0.500
Mg 0.879 0.379 0.500
W 0.000 0.000 0.000
W 0.500 0.500 0.000

***

Entry 5:
This record from the Alexandria database describes a geometry-optimized Hf2Mg2W structure. The functional is PBE.

Properties
The energy relative to the lowest polymorph listed for this composition is 0 meV per atom. As for the crystal system: tetragonal.

Lattice parameters (Å, degrees): 3.567 3.567 17.045 90.00 90.00 90.00
Positions (direct):
Hf 0.000 0.000 0.087
Hf 0.000 0.000 0.913
Hf 0.500 0.500 0.413
Hf 0.500 0.500 0.587
Mg 0.000 0.500 0.250
Mg 0.000 0.500 0.750
Mg 0.500 0.000 0.250
Mg 0.500 0.000 0.750
W 0.000 0.000 0.500
W 0.500 0.500 0.000

***

Entry 6:
This record from the Alexandria database describes a geometry-optimized HfMg14W structure. The functional is PBE.

Properties
The energy relative to the lowest polymorph listed for this composition is 54 meV per atom. As for the crystal system: hexagonal.

Lattice parameters (Å, degrees): 6.310 6.310 9.975 90.00 90.00 120.00
Positions (direct):
Hf 0.000 0.000 0.000
Mg 0.009 0.504 0.000
Mg 0.159 0.319 0.259
Mg 0.159 0.319 0.741
Mg 0.159 0.841 0.259
Mg 0.159 0.841 0.741
Mg 0.496 0.504 0.000
Mg 0.496 0.991 0.000
Mg 0.501 0.003 0.500
Mg 0.501 0.499 0.500
Mg 0.667 0.333 0.240
Mg 0.667 0.333 0.760
Mg 0.681 0.841 0.259
Mg 0.681 0.841 0.741
Mg 0.997 0.499 0.500
W 0.000 0.000 0.500

***

Entry 7:
This record from the Alexandria database describes a geometry-optimized HfMg2W structure. The functional is PBE.

Properties
The energy relative to the lowest polymorph listed for this composition is 0 meV per atom. As for the crystal system: cubic.

Lattice parameters (Å, degrees): 6.697 6.697 6.697 90.00 90.00 90.00
Positions (direct):
Hf 0.000 0.000 0.000
Hf 0.000 0.500 0.500
Hf 0.500 0.000 0.500
Hf 0.500 0.500 0.000
Mg 0.250 0.250 0.250
Mg 0.250 0.250 0.750
Mg 0.250 0.750 0.250
Mg 0.250 0.750 0.750
Mg 0.750 0.250 0.250
Mg 0.750 0.250 0.750
Mg 0.750 0.750 0.250
Mg 0.750 0.750 0.750
W 0.000 0.000 0.500
W 0.000 0.500 0.000
W 0.500 0.000 0.000
W 0.500 0.500 0.500

***

Entry 8:
This record from the Alexandria database describes a geometry-optimized Hf2MgW structure. The functional is PBE.

Properties
As for the crystal system: tetragonal.

Lattice parameters (Å, degrees): 4.101 4.101 20.030 90.00 90.00 90.00
Positions (direct):
Hf 0.237 0.250 0.125
Hf 0.250 0.737 0.375
Hf 0.250 0.763 0.875
Hf 0.263 0.250 0.625
Hf 0.737 0.750 0.625
Hf 0.750 0.237 0.875
Hf 0.750 0.263 0.375
Hf 0.763 0.750 0.125
Mg 0.000 0.000 0.500
Mg 0.000 0.500 0.750
Mg 0.500 0.000 0.250
Mg 0.500 0.500 0.000
W 0.000 0.000 0.000
W 0.000 0.500 0.250
W 0.500 0.000 0.750
W 0.500 0.500 0.500

***

Entry 9:
This record from the Alexandria database describes a geometry-optimized Hf3MgW structure. The functional is PBE.

Properties
As for the crystal system: cubic.

Lattice parameters (Å, degrees): 4.861 4.861 4.861 90.00 90.00 90.00
Positions (direct):
Hf 0.000 0.000 0.500
Hf 0.000 0.500 0.000
Hf 0.500 0.000 0.000
Mg 0.000 0.000 0.000
W 0.500 0.500 0.500

***

Entry 10:
This record from the Alexandria database describes a geometry-optimized HfMg6W structure. The functional is PBE.

Properties
The energy relative to the lowest polymorph listed for this composition is 0 meV per atom. As for the crystal system: orthorhombic.

Lattice parameters (Å, degrees): 4.911 6.090 11.101 90.00 90.00 90.00
Positions (direct):
Hf 0.000 0.000 0.000
Hf 0.000 0.500 0.500
Mg 0.000 0.000 0.472
Mg 0.000 0.243 0.230
Mg 0.000 0.257 0.730
Mg 0.000 0.500 0.972
Mg 0.000 0.743 0.730
Mg 0.000 0.757 0.230
Mg 0.500 0.000 0.628
Mg 0.500 0.246 0.876
Mg 0.500 0.254 0.376
Mg 0.500 0.500 0.128
Mg 0.500 0.746 0.376
Mg 0.500 0.754 0.876
W 0.500 0.000 0.106
W 0.500 0.500 0.606

***

Entry 11:
This record from the Alexandria database describes a geometry-optimized HfMg6W structure. The functional is PBE.

Properties
The energy relative to the lowest polymorph listed for this composition is 69 meV per atom. As for the crystal system: orthorhombic.

Lattice parameters (Å, degrees): 5.048 5.782 11.249 90.00 90.00 90.00
Positions (direct):
Hf 0.000 0.000 0.000
Hf 0.000 0.500 0.500
Mg 0.000 0.250 0.250
Mg 0.000 0.250 0.750
Mg 0.000 0.750 0.250
Mg 0.000 0.750 0.750
Mg 0.500 0.000 0.151
Mg 0.500 0.000 0.636
Mg 0.500 0.242 0.409
Mg 0.500 0.258 0.909
Mg 0.500 0.500 0.136
Mg 0.500 0.500 0.651
Mg 0.500 0.742 0.909
Mg 0.500 0.758 0.409
W 0.000 0.000 0.497
W 0.000 0.500 0.997

***

Entry 12:
This record from the Alexandria database describes a geometry-optimized Hf2MgW structure. The functional is PBE.

Properties
As for the crystal system: tetragonal.

Lattice parameters (Å, degrees): 3.416 3.416 7.003 90.00 90.00 90.00
Positions (direct):
Hf 0.000 0.000 0.218
Hf 0.000 0.000 0.782
Mg 0.500 0.500 0.500
W 0.500 0.500 0.000

***

Magnetic moment (computed, μB per formula unit): 2.260; 0.000; 0.000; 0.000; 0.000; 0.002; 0.020; 0.000; 1.135; 0.000; 0.000; 0.000
Calculated formation energy (computed, eV/atom): 0.169; 0.242; 0.143; 0.751; 0.553; 0.197; 0.611; 0.873; 1.790; 0.238; 0.308; 0.055